This record from Alexandria via LeMat-Bulk describes a PBEsol-optimized structure of Ca2InRh. The functional is meta-GGA SCAN.

Values from the calculation:
Its space group is P4mm (99). Its calculated formation energy is -0.368 eV/atom.

abc: 3.4140 3.4140 8.5047
angles: 90.00 90.00 90.00
Positions (direct):
Rh 0.5000 0.5000 0.7147
Ca 0.5000 0.5000 0.3057
Ca 0.0000 0.0000 0.9224
In 0.0000 0.0000 0.5572

=====

This record from Alexandria via LeMat-Bulk describes a PBEsol-optimized structure of BaH6C2SNO5. The functional is meta-GGA SCAN.

Values from the calculation:
Its space group is P-1 (2). The final energy is -297.9 eV for the cell shown.

abc: 6.9747 6.9058 9.8623
angles: 77.01 66.96 65.34
Positions (direct):
H 0.3141 0.4343 0.8070
H 0.6859 0.5657 0.1930
H 0.7076 0.9219 0.7620
H 0.7344 0.6038 0.7572
H 0.9494 0.3965 0.7651
H 0.1235 0.0617 0.1782
H 0.6063 0.3683 0.2203
H 0.2924 0.0781 0.2380
H 0.2656 0.3962 0.2428
H 0.3937 0.6317 0.7797
H 0.8765 0.9383 0.8218
H 0.0506 0.6035 0.2349
S 0.8787 0.7876 0.0569
S 0.1213 0.2124 0.9431
O 0.7866 0.9247 0.4684
O 0.8769 0.5008 0.6965
O 0.6192 0.4707 0.2700
O 0.2134 0.0753 0.5316
O 0.5986 0.7338 0.4586
O 0.4014 0.2662 0.5414
O 0.1621 0.0338 0.2688
O 0.8379 0.9662 0.7312
O 0.1231 0.4992 0.3035
O 0.3808 0.5293 0.7300
N 0.5365 0.1698 0.1716
N 0.4635 0.8302 0.8284
Ba 0.1954 0.6933 0.4960
Ba 0.8046 0.3067 0.5040
C 0.3896 0.0981 0.5207
C 0.6822 0.0081 0.1238
C 0.3178 0.9919 0.8762
C 0.6104 0.9019 0.4793

=====

This record from Alexandria via LeMat-Bulk describes a PBEsol-optimized structure of Sc2Co3. The functional is meta-GGA SCAN.

Values from the calculation:
Its space group is R-3m (166). Its calculated formation energy is -0.052 eV/atom.

abc: 4.0097 4.0097 5.7227
angles: 69.49 69.49 60.00
Last column: magnetic moment on the atom in μB.
Positions (direct):
Co 0.8438 0.8438 0.4686  1.56
Co 0.1562 0.1562 0.5314  1.56
Co 0.0000 0.0000 0.0000  -0.17
Sc 0.4027 0.4027 0.7918  -0.12
Sc 0.5973 0.5973 0.2082  -0.12

=====

Density across the listed records, respectively: 5.0 2.5 6.1 g/cm3.